[1]
The following is a PBE-GGA calculation of a relaxed Dy3SbI7 crystal, from the Alexandria database.

Properties
* density of states at the Fermi level: 0.088 states/eV per atom
* magnetization: 0.09 μB per atom
* formation energy (no corrections): -1.167 eV per atom
* E: -3.784 eV per atom

abc: 7.115 8.923 8.923
angles: 120.00 90.00 90.00
Element x y z (fractional)
I: 0.026 0.174 0.348
I: 0.026 0.652 0.826
I: 0.546 0.342 0.171
I: 0.032 0.667 0.333
I: 0.026 0.174 0.826
I: 0.546 0.829 0.171
I: 0.546 0.829 0.658
Dy: 0.775 0.005 0.502
Dy: 0.775 0.498 0.995
Dy: 0.775 0.498 0.502
Sb: 0.545 0.333 0.667


[2]
The following is a PBE-GGA calculation of a relaxed Dy5Sb4I crystal, from the Alexandria database.

Properties
* density of states at the Fermi level: 0.341 states/eV per atom
* magnetization: 0.00 μB per atom
* formation energy (no corrections): -1.076 eV per atom
* E: -5.181 eV per atom

abc: 6.186 7.615 7.615
angles: 80.50 66.04 66.04
Element x y z (fractional)
Sb: 0.206 0.188 0.402
Sb: 0.796 0.812 0.598
Sb: 0.608 0.598 0.188
Sb: 0.394 0.402 0.812
Dy: 0.898 0.422 0.785
Dy: 0.104 0.578 0.215
Dy: 0.682 0.215 0.422
Dy: 0.320 0.785 0.578
Dy: 0.501 0.000 0.000
I: 0.001 0.000 0.000


[3]
The following is a PBE-GGA calculation of a relaxed Dy2SbI2 crystal, from the Alexandria database.

Properties
* density of states at the Fermi level: 0.371 states/eV per atom
* magnetization: 0.00 μB per atom
* formation energy (no corrections): -1.259 eV per atom
* E: -4.544 eV per atom

abc: 4.336 4.336 11.495
angles: 79.13 79.13 60.00
Element x y z (fractional)
Dy: 0.383 0.383 0.850
Dy: 0.617 0.617 0.150
I: 0.775 0.775 0.676
I: 0.225 0.225 0.324
Sb: 0.000 0.000 0.000


[4]
The following is a PBE-GGA calculation of a relaxed Dy2ScI crystal, from the Alexandria database.

Properties
* density of states at the Fermi level: 1.779 states/eV per atom
* magnetization: 0.32 μB per atom
* formation energy (no corrections): 0.052 eV per atom
* E: -4.220 eV per atom
* ΔE to the lowest computed polymorph: 306 meV/atom

abc: 3.563 3.563 11.444
angles: 81.04 81.04 60.00
Element x y z (fractional)
I: 0.500 0.500 0.500
Dy: 0.093 0.093 0.722
Dy: 0.907 0.907 0.278
Sc: 0.000 0.000 0.000


[5]
The following is a PBE-GGA calculation of a relaxed DyScI crystal, from the Alexandria database.

Properties
* density of states at the Fermi level: 1.044 states/eV per atom
* magnetization: 0.00 μB per atom
* formation energy (no corrections): -0.121 eV per atom
* E: -4.282 eV per atom

abc: 3.719 5.140 5.140
angles: 120.00 90.00 90.00
Element x y z (fractional)
Sc: 0.179 0.333 0.667
I: 0.133 0.000 0.000
Dy: 0.688 0.667 0.333


[6]
The following is a PBE-GGA calculation of a relaxed Dy2ScI crystal, from the Alexandria database.

Properties
* density of states at the Fermi level: 1.244 states/eV per atom
* magnetization: 0.00 μB per atom
* formation energy (no corrections): -0.255 eV per atom
* E: -4.526 eV per atom
* ΔE to the lowest computed polymorph: 0 meV/atom

abc: 3.594 3.594 9.119
angles: 90.00 90.00 90.00
Element x y z (fractional)
Sc: 0.500 0.500 0.000
Dy: 0.000 0.000 0.756
Dy: 0.000 0.000 0.244
I: 0.500 0.500 0.500


[7]
The following is a PBE-GGA calculation of a relaxed DySc2I crystal, from the Alexandria database.

Properties
* density of states at the Fermi level: 1.388 states/eV per atom
* magnetization: 0.01 μB per atom
* formation energy (no corrections): -0.221 eV per atom
* E: -4.925 eV per atom

abc: 3.599 3.599 10.093
angles: 79.73 79.73 60.00
Element x y z (fractional)
Dy: 0.500 0.500 0.500
Sc: 0.255 0.255 0.235
Sc: 0.745 0.745 0.765
I: 0.000 0.000 0.000


[8]
The following is a PBE-GGA calculation of a relaxed Dy7SeI12 crystal, from the Alexandria database.

Properties
* density of states at the Fermi level: 0.169 states/eV per atom
* magnetization: 0.00 μB per atom
* formation energy (no corrections): -1.290 eV per atom
* E: -4.005 eV per atom

abc: 9.675 9.675 9.675
angles: 108.05 108.05 108.05
Element x y z (fractional)
I: 0.775 0.922 0.313
I: 0.687 0.225 0.078
I: 0.389 0.470 0.153
I: 0.153 0.389 0.470
I: 0.313 0.775 0.922
I: 0.922 0.313 0.775
I: 0.470 0.153 0.389
I: 0.611 0.530 0.847
I: 0.225 0.078 0.687
I: 0.078 0.687 0.225
I: 0.530 0.847 0.611
I: 0.847 0.611 0.530
Dy: 0.309 0.107 0.037
Dy: 0.691 0.893 0.963
Dy: 0.037 0.309 0.107
Dy: 0.500 0.500 0.500
Dy: 0.107 0.037 0.309
Dy: 0.893 0.963 0.691
Dy: 0.963 0.691 0.893
Se: 0.000 0.000 0.000


[9]
The following is a PBE-GGA calculation of a relaxed Dy3SeI7 crystal, from the Alexandria database.

Properties
* density of states at the Fermi level: 0.000 states/eV per atom
* magnetization: 0.00 μB per atom
* formation energy (no corrections): -1.459 eV per atom
* E: -4.017 eV per atom

abc: 7.689 8.677 8.677
angles: 120.00 90.00 90.00
Element x y z (fractional)
Se: 0.586 0.333 0.667
I: 0.555 0.830 0.170
I: 0.555 0.339 0.170
I: 0.012 0.168 0.337
I: 0.010 0.667 0.333
I: 0.012 0.168 0.832
I: 0.012 0.663 0.832
I: 0.555 0.830 0.661
Dy: 0.773 0.017 0.509
Dy: 0.773 0.491 0.509
Dy: 0.773 0.491 0.983


[10]
The following is a PBE-GGA calculation of a relaxed Dy6Se8I crystal, from the Alexandria database.

Properties
* density of states at the Fermi level: 0.222 states/eV per atom
* magnetization: 0.00 μB per atom
* formation energy (no corrections): -1.696 eV per atom
* E: -5.499 eV per atom

abc: 4.172 11.248 11.248
angles: 120.00 90.00 90.00
Element x y z (fractional)
I: 0.500 0.000 0.000
Se: 0.246 0.952 0.332
Se: 0.754 0.620 0.952
Se: 0.246 0.668 0.620
Se: 0.752 0.667 0.333
Se: 0.248 0.333 0.667
Se: 0.754 0.048 0.668
Se: 0.246 0.380 0.048
Se: 0.754 0.332 0.380
Dy: 0.253 0.861 0.529
Dy: 0.747 0.332 0.861
Dy: 0.747 0.529 0.668
Dy: 0.253 0.471 0.332
Dy: 0.253 0.668 0.139
Dy: 0.747 0.139 0.471


[11]
The following is a PBE-GGA calculation of a relaxed Dy2Se2I crystal, from the Alexandria database.

Properties
* density of states at the Fermi level: 0.426 states/eV per atom
* magnetization: 0.00 μB per atom
* formation energy (no corrections): -1.614 eV per atom
* E: -5.159 eV per atom

abc: 4.237 5.637 7.439
angles: 112.26 106.54 90.00
Element x y z (fractional)
Dy: 0.687 0.187 0.375
Dy: 0.313 0.813 0.625
I: 0.000 0.000 0.000
Se: 0.329 0.329 0.658
Se: 0.671 0.671 0.342


[12]
The following is a PBE-GGA calculation of a relaxed Dy3Si2I2 crystal, from the Alexandria database.

Properties
* density of states at the Fermi level: 0.678 states/eV per atom
* magnetization: 0.00 μB per atom
* formation energy (no corrections): -0.733 eV per atom
* E: -4.698 eV per atom

abc: 4.081 7.204 7.813
angles: 98.50 89.95 106.36
Element x y z (fractional)
I: 0.124 0.246 0.388
I: 0.876 0.754 0.612
Si: 0.624 0.248 0.895
Si: 0.376 0.752 0.105
Dy: 0.245 0.490 0.784
Dy: 0.000 0.000 0.000
Dy: 0.755 0.510 0.216


[13]
The following is a PBE-GGA calculation of a relaxed Dy7SiI12 crystal, from the Alexandria database.

Properties
* density of states at the Fermi level: 0.608 states/eV per atom
* magnetization: 0.00 μB per atom
* formation energy (no corrections): -1.242 eV per atom
* E: -4.054 eV per atom

abc: 9.701 9.701 9.701
angles: 107.87 107.87 107.87
Element x y z (fractional)
I: 0.922 0.314 0.772
I: 0.772 0.922 0.314
I: 0.845 0.612 0.533
I: 0.078 0.686 0.228
I: 0.155 0.388 0.467
I: 0.388 0.467 0.155
I: 0.314 0.772 0.922
I: 0.612 0.533 0.845
I: 0.228 0.078 0.686
I: 0.467 0.155 0.388
I: 0.533 0.845 0.612
I: 0.686 0.228 0.078
Dy: 0.102 0.031 0.307
Dy: 0.693 0.898 0.969
Dy: 0.500 0.500 0.500
Dy: 0.031 0.307 0.102
Dy: 0.969 0.693 0.898
Dy: 0.898 0.969 0.693
Dy: 0.307 0.102 0.031
Si: 0.000 0.000 0.000


[14]
The following is a PBE-GGA calculation of a relaxed Dy4Si2I5 crystal, from the Alexandria database.

Properties
* density of states at the Fermi level: 0.154 states/eV per atom
* magnetization: 0.00 μB per atom
* formation energy (no corrections): -0.891 eV per atom
* E: -4.255 eV per atom

abc: 4.131 8.477 14.125
angles: 107.46 98.41 90.00
Element x y z (fractional)
Si: 0.543 0.543 0.085
Si: 0.457 0.457 0.915
I: 0.168 0.418 0.335
I: 0.832 0.582 0.665
I: 0.500 0.000 0.000
I: 0.168 0.917 0.335
I: 0.832 0.083 0.665
Dy: 0.359 0.359 0.717
Dy: 0.000 0.700 0.000
Dy: 0.641 0.641 0.283
Dy: 0.000 0.300 0.000


[15]
The following is a PBE-GGA calculation of a relaxed Dy4SiI5 crystal, from the Alexandria database.

Properties
* density of states at the Fermi level: 0.374 states/eV per atom
* magnetization: 0.00 μB per atom
* formation energy (no corrections): -1.164 eV per atom
* E: -4.323 eV per atom

abc: 4.187 8.798 9.768
angles: 102.32 102.37 90.00
Element x y z (fractional)
Dy: 0.355 0.927 0.710
Dy: 0.000 0.791 0.000
Dy: 0.645 0.073 0.290
Dy: 0.000 0.209 0.000
I: 0.172 0.829 0.344
I: 0.500 0.500 0.000
I: 0.828 0.171 0.656
I: 0.834 0.664 0.668
I: 0.166 0.336 0.332
Si: 0.500 0.000 0.000


[16]
The following is a PBE-GGA calculation of a relaxed Dy4Si2I3 crystal, from the Alexandria database.

Properties
* density of states at the Fermi level: 0.321 states/eV per atom
* magnetization: 0.00 μB per atom
* formation energy (no corrections): -1.032 eV per atom
* E: -4.799 eV per atom

abc: 4.212 4.212 18.699
angles: 90.03 89.97 120.00
Element x y z (fractional)
I: 0.334 0.666 0.612
I: 0.000 0.000 0.000
I: 0.666 0.334 0.388
Dy: 0.666 0.334 0.122
Dy: 0.000 0.000 0.281
Dy: 0.334 0.666 0.878
Dy: 0.000 0.000 0.719
Si: 0.667 0.333 0.803
Si: 0.333 0.667 0.197


[17]
The following is a PBE-GGA calculation of a relaxed SmDyI4 crystal, from the Alexandria database.

Properties
* density of states at the Fermi level: 0.567 states/eV per atom
* magnetization: 0.00 μB per atom
* formation energy (no corrections): -1.235 eV per atom
* E: -3.822 eV per atom

abc: 4.160 7.213 8.427
angles: 105.99 90.00 90.00
Element x y z (fractional)
Dy: 0.500 0.000 0.500
I: 0.000 0.239 0.743
I: 0.500 0.753 0.747
I: 0.500 0.247 0.253
I: 0.000 0.761 0.257
Sm: 0.000 0.500 0.500


[18]
The following is a PBE-GGA calculation of a relaxed SmDy2I crystal, from the Alexandria database.

Properties
* density of states at the Fermi level: 1.484 states/eV per atom
* magnetization: 0.00 μB per atom
* formation energy (no corrections): -0.325 eV per atom
* E: -4.193 eV per atom
* ΔE to the lowest computed polymorph: 27 meV/atom

abc: 3.770 3.770 10.733
angles: 79.88 79.88 60.00
Element x y z (fractional)
I: 0.667 0.667 0.000
Sm: 0.500 0.500 0.501
Dy: 0.255 0.255 0.234
Dy: 0.078 0.078 0.766


[19]
The following is a PBE-GGA calculation of a relaxed Sm2DyI crystal, from the Alexandria database.

Properties
* density of states at the Fermi level: 1.277 states/eV per atom
* magnetization: 0.01 μB per atom
* formation energy (no corrections): -0.391 eV per atom
* E: -4.289 eV per atom
* ΔE to the lowest computed polymorph: 0 meV/atom

abc: 3.769 3.769 10.883
angles: 80.03 80.03 60.00
Element x y z (fractional)
Sm: 0.089 0.089 0.732
Sm: 0.244 0.244 0.268
Dy: 0.667 0.667 0.999
I: 0.500 0.500 0.501


[20]
The following is a PBE-GGA calculation of a relaxed Sm2DyI6 crystal, from the Alexandria database.

Properties
* density of states at the Fermi level: 0.676 states/eV per atom
* magnetization: 0.00 μB per atom
* formation energy (no corrections): -1.185 eV per atom
* E: -3.779 eV per atom

abc: 7.636 7.636 8.355
angles: 62.81 62.81 60.00
Element x y z (fractional)
I: 0.419 0.103 0.697
I: 0.606 0.946 0.195
I: 0.946 0.254 0.195
I: 0.103 0.781 0.697
I: 0.781 0.419 0.697
I: 0.254 0.606 0.195
Sm: 0.683 0.683 0.952
Sm: 0.519 0.519 0.443
Dy: 0.355 0.355 0.934